Ni3SbBr | GGA-PBE | optimized geometry

Cell and atoms, written as CIF:
```
data_Ni3SbBr
_cell_length_a 4.775
_cell_length_b 4.775
_cell_length_c 4.775
_cell_angle_alpha 90.00
_cell_angle_beta 90.00
_cell_angle_gamma 90.00
_symmetry_space_group_name_H-M 'P 1'
_symmetry_Int_Tables_number 1
_symmetry_space_group_name_Hall 'P 1'
loop_
_atom_site_label
_atom_site_type_symbol
_atom_site_fract_x
_atom_site_fract_y
_atom_site_fract_z
Ni1 Ni 0.000 0.000 0.500
Ni2 Ni 0.000 0.500 0.000
Ni3 Ni 0.500 0.000 0.000
Sb1 Sb 0.000 0.000 0.000
Br1 Br 0.500 0.500 0.500
```

Volume ... 109 Å³/f.u.
Formation energy from raw total energies ... 871 meV per atom
Energy ... -18.8 eV/cell
D(E_F) ... 8.97 states/eV/cell
SG ... Pm-3m, No. 221